(1)
A plane-wave DFT calculation with PBE was carried out for crystalline Sr8Tl3In2 at its relaxed geometry. Values from VASP.

Summary:
* energy of formation from the pure elements: -3.70 eV/f.u.
* raw total energy: -2.287 eV/atom
* space group: Cmmm
* M_tot: 0.91 μB/f.u.
* calculated volume: 41.36 Å³/atom

The structure in Quantum ESPRESSO input format:
```
&SYSTEM
  ibrav = 0, nat = 13, ntyp = 3
/
ATOMIC_SPECIES
Sr 87.62 Sr.upf
Tl 204.38 Tl.upf
In 114.82 In.upf
CELL_PARAMETERS angstrom
-1.568 1.638 -5.282
-1.877 -9.487 -2.385
-9.485 -2.150 2.150
ATOMIC_POSITIONS angstrom
Sr -5.805 -2.701 -5.370
Sr -7.126 -7.298 -0.148
Sr -9.907 -10.147 -0.206
Sr -3.024 0.149 -5.312
Sr -9.810 -4.650 -1.658
Sr -6.014 -8.310 -3.920
Sr -6.917 -1.688 -1.598
Sr -3.121 -5.348 -3.860
Tl -0.784 0.819 -2.641
Tl -3.758 -7.673 -1.264
Tl -7.604 -3.964 1.028
In -9.323 -7.926 -2.819
In -3.608 -2.073 -2.700
```

(2)
A plane-wave DFT calculation with PBE was carried out for crystalline TmNbAl2O8 at its relaxed geometry. Values from VASP.

Summary:
* raw total energy: -7.639 eV/atom
* space group: I-4m2
* raw formation energy: -2.498 eV per atom
* M_tot: 2.03 μB/f.u.
* calculated volume: 12.01 Å³/atom

The structure in Quantum ESPRESSO input format:
```
&SYSTEM
  ibrav = 0, nat = 12, ntyp = 4
/
ATOMIC_SPECIES
Tm 168.93 Tm.upf
Nb 92.91 Nb.upf
Al 26.98 Al.upf
O 16.00 O.upf
CELL_PARAMETERS angstrom
5.723 0.180 0.000
-2.376 5.209 0.000
-1.673 -2.695 4.767
ATOMIC_POSITIONS angstrom
Tm 0.000 0.000 0.000
Nb -1.188 2.605 2.383
Al 2.861 0.090 2.383
Al 1.673 2.695 0.000
O 1.466 -0.529 1.525
O 0.261 2.266 0.974
O 0.242 -1.456 3.793
O 2.925 -1.435 3.242
O 3.085 3.123 0.974
O 4.256 0.709 1.525
O 2.798 1.615 3.242
O -0.242 1.456 3.793
```